Entry from Alexandria via LeMat-Bulk: a relaxed Dy2Au crystal (GGA-PBE).

It has space group Pnma (No. 62), with a = 7.1024 Å, b = 4.9715 Å, c = 8.9571 Å, α = 90.00°, β = 90.00° and γ = 90.00°. The asymmetric unit holds Dy at (0.0121, 0.2500, 0.1765), Dy at (0.1496, 0.2500, 0.5818) and Au at (0.2415, 0.2500, 0.9023).

The calculation puts the electronic total energy at -57.6 eV/cell. As for the density of states at the Fermi level: 11.92 states/eV per cell. As for the mass density: 11.0 Mg/m³.